[1]
Compound: Th8NiTe4Rh3
Source: the Alexandria database
Functional: PBE
Structure: optimized geometry

Calculated values
For the uncorrected formation energy, the calculation gives -0.96 eV/atom.

Geometry as CIF:
```
data_Th8NiTe4Rh3
_chemical_formula_sum 'Th8 Ni1 Te4 Rh3'
_symmetry_space_group_name_H-M 'P 1'
_symmetry_Int_Tables_number 1
_cell_length_a 8.353
_cell_length_b 9.063
_cell_length_c 8.356
_cell_angle_alpha 117.46
_cell_angle_beta 119.99
_cell_angle_gamma 90.00
loop_
_symmetry_equiv_pos_as_xyz
'x,y,z'
loop_
_atom_site_label
_atom_site_fract_x
_atom_site_fract_y
_atom_site_fract_z
Th1 0.233 0.702 0.969
Ni1 0.000 0.500 0.000
Th2 0.265 0.294 0.529
Te1 0.000 0.000 0.500
Th3 0.233 0.702 0.466
Th4 0.767 0.298 0.534
Th5 0.767 0.298 0.031
Rh1 0.500 0.500 0.500
Th6 0.735 0.706 0.471
Te2 0.500 0.000 0.500
Te3 0.500 0.000 0.000
Te4 0.000 0.000 0.000
Rh2 0.500 0.500 0.000
Rh3 0.000 0.500 0.500
Th7 0.737 0.702 0.969
Th8 0.263 0.298 0.031
```

[2]
Compound: Ni2TeRhW
Source: the Alexandria database
Functional: PBE
Structure: optimized geometry

Calculated values
The calculation puts the energy above the most stable polymorph in this dataset at 0.0 kJ/mol of atoms. For the uncorrected formation energy, the calculation gives 1.15 eV/atom.

Geometry as CIF:
```
data_Ni2TeRhW
_chemical_formula_sum 'Ni2 Te1 Rh1 W1'
_symmetry_space_group_name_H-M 'P 1'
_symmetry_Int_Tables_number 1
_cell_length_a 4.584
_cell_length_b 4.742
_cell_length_c 4.584
_cell_angle_alpha 90.00
_cell_angle_beta 90.00
_cell_angle_gamma 90.00
loop_
_symmetry_equiv_pos_as_xyz
'x,y,z'
loop_
_atom_site_label
_atom_site_fract_x
_atom_site_fract_y
_atom_site_fract_z
Rh1 0.000 0.500 0.000
W1 0.000 0.000 0.000
Ni1 0.000 0.000 0.500
Te1 0.500 0.500 0.500
Ni2 0.500 0.000 0.000
```

[3]
Compound: Ni2TeRhW
Source: the Alexandria database
Functional: PBE
Structure: optimized geometry

Calculated values
The calculation puts the energy above the most stable polymorph in this dataset at 13.8 kJ/mol of atoms. For the uncorrected formation energy, the calculation gives 1.29 eV/atom.

Geometry as CIF:
```
data_Ni2TeRhW
_chemical_formula_sum 'Ni2 Te1 Rh1 W1'
_symmetry_space_group_name_H-M 'P 1'
_symmetry_Int_Tables_number 1
_cell_length_a 4.588
_cell_length_b 4.662
_cell_length_c 4.588
_cell_angle_alpha 90.00
_cell_angle_beta 90.00
_cell_angle_gamma 90.00
loop_
_symmetry_equiv_pos_as_xyz
'x,y,z'
loop_
_atom_site_label
_atom_site_fract_x
_atom_site_fract_y
_atom_site_fract_z
Ni1 0.000 0.000 0.500
Te1 0.500 0.500 0.500
W1 0.000 0.500 0.000
Ni2 0.500 0.000 0.000
Rh1 0.000 0.000 0.000
```

[4]
Compound: Zr2NiTeRh
Source: the Alexandria database
Functional: PBE
Structure: optimized geometry

Calculated values
For the uncorrected formation energy, the calculation gives 0.07 eV/atom.

Geometry as CIF:
```
data_Zr2NiTeRh
_chemical_formula_sum 'Zr2 Ni1 Te1 Rh1'
_symmetry_space_group_name_H-M 'P 1'
_symmetry_Int_Tables_number 1
_cell_length_a 4.779
_cell_length_b 4.650
_cell_length_c 4.779
_cell_angle_alpha 90.00
_cell_angle_beta 90.00
_cell_angle_gamma 90.00
loop_
_symmetry_equiv_pos_as_xyz
'x,y,z'
loop_
_atom_site_label
_atom_site_fract_x
_atom_site_fract_y
_atom_site_fract_z
Ni1 0.000 0.000 0.000
Zr1 0.500 0.000 0.000
Zr2 0.000 0.000 0.500
Te1 0.500 0.500 0.500
Rh1 0.000 0.500 0.000
```

[5]
Compound: ThNiRh
Source: the Alexandria database
Functional: PBE
Structure: optimized geometry

Calculated values
The formation energy is -483 meV per atom.

Geometry as CIF:
```
data_ThNiRh
_chemical_formula_sum 'Th2 Ni2 Rh2'
_symmetry_space_group_name_H-M 'P 1'
_symmetry_Int_Tables_number 1
_cell_length_a 4.188
_cell_length_b 4.260
_cell_length_c 7.361
_cell_angle_alpha 106.82
_cell_angle_beta 90.00
_cell_angle_gamma 90.00
loop_
_symmetry_equiv_pos_as_xyz
'x,y,z'
loop_
_atom_site_label
_atom_site_fract_x
_atom_site_fract_y
_atom_site_fract_z
Rh1 0.750 0.354 0.208
Th1 0.250 0.844 0.187
Th2 0.750 0.156 0.813
Rh2 0.250 0.646 0.792
Ni1 0.750 0.537 0.574
Ni2 0.250 0.463 0.426
```

[6]
Compound: ThNiRh
Source: the Alexandria database
Functional: PBE
Structure: optimized geometry

Calculated values
The formation energy is -430 meV per atom.

Geometry as CIF:
```
data_ThNiRh
_chemical_formula_sum 'Th1 Ni1 Rh1'
_symmetry_space_group_name_H-M 'P 1'
_symmetry_Int_Tables_number 1
_cell_length_a 3.633
_cell_length_b 3.633
_cell_length_c 4.995
_cell_angle_alpha 111.33
_cell_angle_beta 111.33
_cell_angle_gamma 90.00
loop_
_symmetry_equiv_pos_as_xyz
'x,y,z'
loop_
_atom_site_label
_atom_site_fract_x
_atom_site_fract_y
_atom_site_fract_z
Rh1 0.951 0.951 0.902
Th1 0.616 0.616 0.233
Ni1 0.282 0.282 0.565
```

Number 1: uncorrected energy -0.264 hartree per atom. Number 2: uncorrected energy -0.215 hartree per atom. Number 3: uncorrected energy -0.210 hartree per atom. Number 4: uncorrected energy -0.243 hartree per atom. Number 5: uncorrected energy -0.270 hartree per atom. Number 6: uncorrected energy -0.268 hartree per atom.